This record from the Alexandria database describes a relaxed TmAl3Ag crystal. The functional is PBE.

Computed properties:
Calculated formation energy (kJ per mole of atoms): -14.4
Density of states at the Fermi level (states/eV/f.u.): 2.37
E above lowest polymorph (meV/atom): 110.1
M_tot (μB/atom): 0.000
Crystal system: orthorhombic
Calculated total energy (eV per atom): -3.859

abc: 4.3054 5.8322 5.8322
angles: 44.68 90.00 90.00
Positions (direct):
Tm 0.0000 0.0000 0.0000
Al 0.0000 0.6940 0.6940
Al 0.5000 0.1886 0.1886
Al 0.5000 0.5058 0.5058
Ag 0.0000 0.3225 0.3225